Material: RbUFeO6
Method: DFT, PBE with a Hubbard U
State: optimized geometry

As for the final energy: -7.249 eV per atom.

The space group is Imma (No. 74) and the conventional cell measures 7.175, 7.889 and 10.486 Å, with angles of 90.00, 90.00 and 90.00 degrees. The inequivalent atoms are Rb at (0.000, 0.250, 0.103), U at (0.000, 0.000, 0.500), Fe at (0.250, 0.250, 0.750), O at (0.000, 0.250, 0.419), O at (0.000, 0.250, 0.803) and O at (0.204, 0.072, 0.621).